# YMnP4

A relaxed structure of YMnP4 (PBE-GGA, Alexandria).

The space group is F-43m (No. 216) and the conventional cell measures 7.369, 7.369 and 7.369 Å, with angles of 90.00, 90.00 and 90.00 degrees. The inequivalent atoms are Y at (0.000, 0.000, 0.000), Mn at (0.250, 0.250, 0.750) and P at (0.121, 0.121, 0.379).

The total energy is -6.082 eV per atom. The calculation puts the calculated density at 4.444 g/cm3. The value obtained for the formation energy is 131 meV per atom.